Record 1
# Cd3Pd4Au4, optimized geometry, DFT GGA-PBE
data_Cd3Pd4Au4
_chemical_formula_sum 'Cd3 Pd4 Au4'
_symmetry_space_group_name_H-M 'P 1'
_symmetry_Int_Tables_number 1
_cell_length_a 3.029
_cell_length_b 3.941
_cell_length_c 16.324
_cell_angle_alpha 96.91
_cell_angle_beta 95.30
_cell_angle_gamma 90.15
loop_
_symmetry_equiv_pos_as_xyz
'x,y,z'
loop_
_atom_site_label
_atom_site_fract_x
_atom_site_fract_y
_atom_site_fract_z
Cd1 0.000 0.000 0.000
Cd2 0.362 0.363 0.725
Cd3 0.638 0.637 0.275
Pd1 0.182 0.182 0.364
Pd2 0.455 0.455 0.909
Pd3 0.545 0.545 0.091
Pd4 0.818 0.818 0.636
Au1 0.090 0.090 0.181
Au2 0.273 0.273 0.545
Au3 0.727 0.727 0.455
Au4 0.910 0.910 0.819
# space-group type: P-1, No. 2
# uncorrected energy: -3.5728 eV per atom
# DFT formation energy: -0.243 eV per atom
# calculated density: 13.37 Mg/m³

***

Record 2
# CdPdAu6, optimized geometry, DFT GGA-PBE
data_CdPdAu6
_chemical_formula_sum 'Cd1 Pd1 Au6'
_symmetry_space_group_name_H-M 'P 1'
_symmetry_Int_Tables_number 1
_cell_length_a 4.783
_cell_length_b 5.890
_cell_length_c 5.890
_cell_angle_alpha 60.17
_cell_angle_beta 90.00
_cell_angle_gamma 90.00
loop_
_symmetry_equiv_pos_as_xyz
'x,y,z'
loop_
_atom_site_label
_atom_site_fract_x
_atom_site_fract_y
_atom_site_fract_z
Cd1 0.000 0.000 0.000
Pd1 0.500 0.332 0.332
Au1 0.000 0.004 0.498
Au2 0.000 0.498 0.004
Au3 0.000 0.498 0.498
Au4 0.500 0.334 0.832
Au5 0.500 0.832 0.334
Au6 0.500 0.832 0.832
# space-group type: Amm2, No. 38
# uncorrected energy: -3.2948 eV per atom
# DFT formation energy: -0.073 eV per atom
# calculated density: 16.15 Mg/m³

***

Record 3
# Cd6PdAu12, optimized geometry, DFT GGA-PBE
data_Cd6PdAu12
_chemical_formula_sum 'Cd6 Pd1 Au12'
_symmetry_space_group_name_H-M 'P 1'
_symmetry_Int_Tables_number 1
_cell_length_a 7.155
_cell_length_b 7.155
_cell_length_c 7.155
_cell_angle_alpha 91.30
_cell_angle_beta 91.30
_cell_angle_gamma 91.30
loop_
_symmetry_equiv_pos_as_xyz
'x,y,z'
loop_
_atom_site_label
_atom_site_fract_x
_atom_site_fract_y
_atom_site_fract_z
Cd1 0.220 0.385 0.764
Cd2 0.236 0.780 0.615
Cd3 0.385 0.764 0.220
Cd4 0.615 0.236 0.780
Cd5 0.764 0.220 0.385
Cd6 0.780 0.615 0.236
Pd1 0.500 0.500 0.500
Au1 0.033 0.946 0.294
Au2 0.054 0.706 0.967
Au3 0.130 0.452 0.353
Au4 0.294 0.033 0.946
Au5 0.353 0.130 0.452
Au6 0.452 0.353 0.130
Au7 0.548 0.647 0.870
Au8 0.647 0.870 0.548
Au9 0.706 0.967 0.054
Au10 0.870 0.548 0.647
Au11 0.946 0.294 0.033
Au12 0.967 0.054 0.706
# space-group type: R-3, No. 148
# uncorrected energy: -2.7622 eV per atom
# DFT formation energy: -0.130 eV per atom
# calculated density: 14.27 Mg/m³

***

Record 4
# Cd6Pd3Au, optimized geometry, DFT GGA-PBE
data_Cd6Pd3Au
_chemical_formula_sum 'Cd12 Pd6 Au2'
_symmetry_space_group_name_H-M 'P 1'
_symmetry_Int_Tables_number 1
_cell_length_a 8.036
_cell_length_b 4.780
_cell_length_c 10.216
_cell_angle_alpha 90.00
_cell_angle_beta 108.15
_cell_angle_gamma 90.00
loop_
_symmetry_equiv_pos_as_xyz
'x,y,z'
loop_
_atom_site_label
_atom_site_fract_x
_atom_site_fract_y
_atom_site_fract_z
Cd1 0.034 0.250 0.417
Cd2 0.149 0.750 0.181
Cd3 0.233 0.250 0.999
Cd4 0.336 0.750 0.783
Cd5 0.339 0.250 0.318
Cd6 0.427 0.250 0.618
Cd7 0.573 0.750 0.382
Cd8 0.661 0.750 0.682
Cd9 0.664 0.250 0.217
Cd10 0.767 0.750 0.001
Cd11 0.851 0.250 0.819
Cd12 0.966 0.750 0.583
Pd1 0.043 0.750 0.881
Pd2 0.131 0.250 0.709
Pd3 0.269 0.750 0.479
Pd4 0.731 0.250 0.521
Pd5 0.869 0.750 0.291
Pd6 0.957 0.250 0.119
Au1 0.454 0.750 0.084
Au2 0.546 0.250 0.916
# space-group type: P2_1/m, No. 11
# uncorrected energy: -2.7187 eV per atom
# DFT formation energy: -0.284 eV per atom
# calculated density: 10.60 Mg/m³

***

Record 5
# CdPd3Au, optimized geometry, DFT GGA-PBE
data_CdPd3Au
_chemical_formula_sum 'Cd1 Pd3 Au1'
_symmetry_space_group_name_H-M 'P 1'
_symmetry_Int_Tables_number 1
_cell_length_a 4.980
_cell_length_b 4.980
_cell_length_c 4.980
_cell_angle_alpha 90.00
_cell_angle_beta 90.00
_cell_angle_gamma 90.00
loop_
_symmetry_equiv_pos_as_xyz
'x,y,z'
loop_
_atom_site_label
_atom_site_fract_x
_atom_site_fract_y
_atom_site_fract_z
Cd1 0.000 0.000 0.000
Pd1 0.000 0.500 0.500
Pd2 0.500 0.000 0.500
Pd3 0.500 0.500 0.000
Au1 0.500 0.500 0.500
# space-group type: Pm-3m, No. 221
# uncorrected energy: -3.1826 eV per atom
# DFT formation energy: 0.772 eV per atom
# calculated density: 8.45 Mg/m³

***

Record 6
# CdPd9Au2, optimized geometry, DFT GGA-PBE
data_CdPd9Au2
_chemical_formula_sum 'Cd1 Pd9 Au2'
_symmetry_space_group_name_H-M 'P 1'
_symmetry_Int_Tables_number 1
_cell_length_a 4.012
_cell_length_b 4.012
_cell_length_c 12.014
_cell_angle_alpha 90.00
_cell_angle_beta 90.00
_cell_angle_gamma 90.00
loop_
_symmetry_equiv_pos_as_xyz
'x,y,z'
loop_
_atom_site_label
_atom_site_fract_x
_atom_site_fract_y
_atom_site_fract_z
Cd1 0.000 0.000 0.000
Pd1 0.000 0.500 0.168
Pd2 0.000 0.500 0.500
Pd3 0.000 0.500 0.832
Pd4 0.500 0.000 0.168
Pd5 0.500 0.000 0.500
Pd6 0.500 0.000 0.832
Pd7 0.500 0.500 0.000
Pd8 0.500 0.500 0.334
Pd9 0.500 0.500 0.666
Au1 0.000 0.000 0.334
Au2 0.000 0.000 0.666
# space-group type: P4/mmm, No. 123
# uncorrected energy: -4.6323 eV per atom
# DFT formation energy: -0.115 eV per atom
# calculated density: 12.57 Mg/m³

***

Record 7
# CdPdAu, optimized geometry, DFT GGA-PBE
data_CdPdAu
_chemical_formula_sum 'Cd1 Pd1 Au1'
_symmetry_space_group_name_H-M 'P 1'
_symmetry_Int_Tables_number 1
_cell_length_a 4.593
_cell_length_b 4.593
_cell_length_c 2.929
_cell_angle_alpha 90.00
_cell_angle_beta 90.00
_cell_angle_gamma 120.00
loop_
_symmetry_equiv_pos_as_xyz
'x,y,z'
loop_
_atom_site_label
_atom_site_fract_x
_atom_site_fract_y
_atom_site_fract_z
Cd1 0.000 0.000 0.000
Pd1 0.667 0.333 0.669
Au1 0.333 0.667 0.336
# space-group type: P3m1, No. 156
# uncorrected energy: -3.3409 eV per atom
# DFT formation energy: -0.212 eV per atom
# calculated density: 12.90 Mg/m³

***

Record 8
# Cd3Pd2Au2, optimized geometry, DFT GGA-PBE
data_Cd3Pd2Au2
_chemical_formula_sum 'Cd3 Pd2 Au2'
_symmetry_space_group_name_H-M 'P 1'
_symmetry_Int_Tables_number 1
_cell_length_a 4.211
_cell_length_b 5.040
_cell_length_c 6.679
_cell_angle_alpha 81.28
_cell_angle_beta 89.85
_cell_angle_gamma 65.40
loop_
_symmetry_equiv_pos_as_xyz
'x,y,z'
loop_
_atom_site_label
_atom_site_fract_x
_atom_site_fract_y
_atom_site_fract_z
Cd1 0.000 0.000 0.000
Cd2 0.418 0.162 0.299
Cd3 0.582 0.838 0.701
Pd1 0.138 0.724 0.419
Pd2 0.862 0.276 0.581
Au1 0.288 0.423 0.848
Au2 0.712 0.577 0.152
# space-group type: P-1, No. 2
# uncorrected energy: -3.0685 eV per atom
# DFT formation energy: -0.256 eV per atom
# calculated density: 12.33 Mg/m³

***

Record 9
# Cd5Pd2Au2, optimized geometry, DFT GGA-PBE
data_Cd5Pd2Au2
_chemical_formula_sum 'Cd5 Pd2 Au2'
_symmetry_space_group_name_H-M 'P 1'
_symmetry_Int_Tables_number 1
_cell_length_a 4.204
_cell_length_b 5.192
_cell_length_c 8.869
_cell_angle_alpha 73.97
_cell_angle_beta 76.52
_cell_angle_gamma 66.49
loop_
_symmetry_equiv_pos_as_xyz
'x,y,z'
loop_
_atom_site_label
_atom_site_fract_x
_atom_site_fract_y
_atom_site_fract_z
Cd1 0.000 0.000 0.000
Cd2 0.016 0.328 0.645
Cd3 0.338 0.453 0.874
Cd4 0.663 0.556 0.118
Cd5 0.696 0.180 0.431
Pd1 0.340 0.117 0.203
Pd2 0.350 0.756 0.548
Au1 0.010 0.654 0.328
Au2 0.673 0.889 0.769
# space-group type: P1, No. 1
# uncorrected energy: -2.6181 eV per atom
# DFT formation energy: -0.227 eV per atom
# calculated density: 11.49 Mg/m³

***

Record 10
# Cd3Pd2Au2, optimized geometry, DFT GGA-PBE
data_Cd3Pd2Au2
_chemical_formula_sum 'Cd3 Pd2 Au2'
_symmetry_space_group_name_H-M 'P 1'
_symmetry_Int_Tables_number 1
_cell_length_a 4.630
_cell_length_b 2.907
_cell_length_c 10.168
_cell_angle_alpha 90.00
_cell_angle_beta 102.03
_cell_angle_gamma 90.00
loop_
_symmetry_equiv_pos_as_xyz
'x,y,z'
loop_
_atom_site_label
_atom_site_fract_x
_atom_site_fract_y
_atom_site_fract_z
Cd1 0.000 0.000 0.000
Cd2 0.290 0.000 0.587
Cd3 0.710 0.000 0.413
Pd1 0.416 0.500 0.853
Pd2 0.584 0.500 0.147
Au1 0.145 0.000 0.271
Au2 0.855 0.000 0.729
# space-group type: P2/m, No. 10
# uncorrected energy: -2.9186 eV per atom
# DFT formation energy: -0.106 eV per atom
# calculated density: 11.71 Mg/m³

***

Record 11
# Cd4PdAu4, optimized geometry, DFT GGA-PBE
data_Cd4PdAu4
_chemical_formula_sum 'Cd8 Pd2 Au8'
_symmetry_space_group_name_H-M 'P 1'
_symmetry_Int_Tables_number 1
_cell_length_a 8.430
_cell_length_b 8.430
_cell_length_c 5.424
_cell_angle_alpha 90.00
_cell_angle_beta 90.00
_cell_angle_gamma 90.00
loop_
_symmetry_equiv_pos_as_xyz
'x,y,z'
loop_
_atom_site_label
_atom_site_fract_x
_atom_site_fract_y
_atom_site_fract_z
Cd1 0.031 0.750 0.103
Cd2 0.250 0.531 0.397
Cd3 0.250 0.969 0.397
Cd4 0.469 0.750 0.103
Cd5 0.531 0.250 0.897
Cd6 0.750 0.031 0.603
Cd7 0.750 0.469 0.603
Cd8 0.969 0.250 0.897
Pd1 0.250 0.750 0.750
Pd2 0.750 0.250 0.250
Au1 0.067 0.250 0.406
Au2 0.250 0.067 0.906
Au3 0.250 0.433 0.906
Au4 0.433 0.250 0.406
Au5 0.567 0.750 0.594
Au6 0.750 0.567 0.094
Au7 0.750 0.933 0.094
Au8 0.933 0.750 0.594
# space-group type: P4_2/nmc, No. 137
# uncorrected energy: -2.4884 eV per atom
# DFT formation energy: -0.048 eV per atom
# calculated density: 11.58 Mg/m³

***

Record 12
# CdPd6Au4, optimized geometry, DFT GGA-PBE
data_CdPd6Au4
_chemical_formula_sum 'Cd1 Pd6 Au4'
_symmetry_space_group_name_H-M 'P 1'
_symmetry_Int_Tables_number 1
_cell_length_a 7.000
_cell_length_b 7.000
_cell_length_c 7.000
_cell_angle_alpha 126.94
_cell_angle_beta 126.94
_cell_angle_gamma 78.36
loop_
_symmetry_equiv_pos_as_xyz
'x,y,z'
loop_
_atom_site_label
_atom_site_fract_x
_atom_site_fract_y
_atom_site_fract_z
Cd1 0.000 0.000 0.000
Pd1 0.000 0.500 0.500
Pd2 0.244 0.244 0.686
Pd3 0.442 0.756 0.000
Pd4 0.500 0.000 0.500
Pd5 0.558 0.558 0.314
Pd6 0.756 0.442 0.000
Au1 0.076 0.589 0.000
Au2 0.411 0.411 0.486
Au3 0.589 0.076 0.000
Au4 0.924 0.924 0.514
# space-group type: I-42m, No. 121
# uncorrected energy: -3.9424 eV per atom
# DFT formation energy: 0.165 eV per atom
# calculated density: 12.04 Mg/m³